Computed, not measured: CdNiIO6 after structural relaxation at the PBE+U level of DFT.

Unit cell a=5.153 b=5.153 c=9.763 alpha=90.00 beta=90.00 gamma=120.00
Positions (direct):
Cd: 0.000 0.000 0.000
Cd: 0.000 0.000 0.500
Ni: 0.333 0.667 0.250
Ni: 0.667 0.333 0.750
I: 0.333 0.667 0.750
I: 0.667 0.333 0.250
O: 0.014 0.376 0.640
O: 0.014 0.638 0.860
O: 0.362 0.376 0.860
O: 0.362 0.986 0.640
O: 0.376 0.014 0.140
O: 0.376 0.362 0.360
O: 0.624 0.638 0.640
O: 0.624 0.986 0.860
O: 0.638 0.014 0.360
O: 0.638 0.624 0.140
O: 0.986 0.362 0.140
O: 0.986 0.624 0.360

**DFT total energy**: -80.39 eV for the cell shown


Computed, not measured: Cd2NiIO6 after structural relaxation at the PBE+U level of DFT.

Unit cell a=5.491 b=5.604 c=9.642 alpha=90.00 beta=124.28 gamma=90.00
Positions (direct):
Cd: 0.231 0.046 0.246
Cd: 0.231 0.454 0.746
Cd: 0.769 0.546 0.254
Cd: 0.769 0.954 0.754
Ni: 0.000 0.000 0.500
Ni: 0.000 0.500 0.000
I: 0.500 0.000 0.000
I: 0.500 0.500 0.500
O: 0.151 0.200 0.945
O: 0.151 0.300 0.445
O: 0.241 0.710 0.935
O: 0.241 0.790 0.435
O: 0.369 0.049 0.758
O: 0.369 0.451 0.258
O: 0.631 0.549 0.742
O: 0.631 0.951 0.242
O: 0.759 0.210 0.565
O: 0.759 0.290 0.065
O: 0.849 0.700 0.555
O: 0.849 0.800 0.055

**DFT total energy**: -85.87 eV for the cell shown


Question: What is the formula in the first record?
Answer: CdNiIO6